[1]
# Fe2CuIr

A relaxed structure of Fe2CuIr (GGA-PBEsol, Alexandria).

Its density is 12.7 g/cm³. The value obtained for the final energy is -7.974 eV per atom. The value obtained for the formation energy is 0.190 eV/f.u. Its symmetry is Cmmm (65).

Lattice parameters (Å, degrees): 2.596 4.443 4.443 109.84 90.00 90.00
Site moments in Bohr magnetons follow the coordinates.
Fractional positions:
Ir 0.500 0.000 0.000  0.19
Fe 0.000 0.500 0.000  2.44
Fe 0.000 0.000 0.500  2.44
Cu 0.500 0.500 0.500  0.15

[2]
# FeCuIr2

A relaxed structure of FeCuIr2 (GGA-PBEsol, Alexandria).

Its density is 16.3 g/cm³. The value obtained for the final energy is -8.220 eV per atom. The value obtained for the formation energy is 0.063 eV/f.u. For the energy above the lowest structure with this stoichiometry, the calculation gives 0.000 eV/atom. Its symmetry is R-3m (166).

Lattice parameters (Å, degrees): 2.663 2.663 8.518 81.01 81.01 60.00
Site moments in Bohr magnetons follow the coordinates.
Fractional positions:
Cu 0.500 0.500 0.500  0.00
Fe 0.000 0.000 0.000  2.35
Ir 0.252 0.252 0.243  0.07
Ir 0.748 0.748 0.757  0.07

[3]
# FeCuIr2

A relaxed structure of FeCuIr2 (GGA-PBEsol, Alexandria).

Its density is 15.9 g/cm³. The value obtained for the final energy is -7.921 eV per atom. The value obtained for the formation energy is 1.260 eV/f.u. For the energy above the lowest structure with this stoichiometry, the calculation gives 0.299 eV/atom. Its symmetry is F-43m (216).

Lattice parameters (Å, degrees): 4.204 4.204 4.204 60.00 60.00 60.00
Site moments in Bohr magnetons follow the coordinates.
Fractional positions:
Cu 0.500 0.500 0.500  0.05
Fe 0.250 0.250 0.250  2.72
Ir 0.000 0.000 0.000  0.17
Ir 0.750 0.750 0.750  -0.08

[4]
# FeCuIr2

A relaxed structure of FeCuIr2 (GGA-PBEsol, Alexandria).

Its density is 16.3 g/cm³. The value obtained for the final energy is -8.138 eV per atom. The value obtained for the formation energy is 0.393 eV/f.u. For the energy above the lowest structure with this stoichiometry, the calculation gives 0.083 eV/atom. Its symmetry is Cm (8).

Lattice parameters (Å, degrees): 2.674 4.441 4.585 99.90 106.95 90.00
Site moments in Bohr magnetons follow the coordinates.
Fractional positions:
Cu 0.500 0.493 0.999  0.07
Fe 0.748 0.253 0.495  2.34
Ir 0.000 0.998 0.000  0.04
Ir 0.253 0.756 0.506  0.01